[1]
Computed, not measured: a relaxed AcHgGeO5 crystal at the PBE level of DFT.

The energy relative to the elements, uncorrected comes out at -159.2 kJ per mole of atoms. The value obtained for the volume is 656.96 Å³/cell. The calculation puts the total magnetization at 4.23 μB per cell.

Structure (CIF):
```
data_AcHgGeO5
_chemical_formula_sum 'Ac4 Hg4 Ge4 O20'
_cell_length_a 8.7886
_cell_length_b 9.4193
_cell_length_c 9.0352
_cell_angle_alpha 90.00
_cell_angle_beta 118.56
_cell_angle_gamma 90.00
_space_group_name_H-M_alt 'C 1 2/c 1'
_space_group_IT_number 15
loop_
_space_group_symop_operation_xyz
'x,y,z'
'-x,-y,-z'
'-x,y,-z+1/2'
'x,-y,z+1/2'
'x+1/2,y+1/2,z'
'-x+1/2,-y+1/2,-z'
'-x+1/2,y+1/2,-z+1/2'
'x+1/2,-y+1/2,z+1/2'
loop_
_atom_site_label
_atom_site_type_symbol
_atom_site_fract_x
_atom_site_fract_y
_atom_site_fract_z
_atom_site_occupancy
Ac1 Ac 0.2500 0.2500 0.0000 1
Hg1 Hg 0.0000 0.0787 0.2500 1
Ge1 Ge 0.0000 0.4020 0.2500 1
O1 O 0.0000 0.1355 0.7500 1
O2 O 0.0762 0.2687 0.1554 1
O3 O 0.1670 0.4924 0.8974 1
```

---

[2]
Computed, not measured: a relaxed MnTl2Sb2 crystal at the PBE level of DFT.

The energy relative to the elements, uncorrected comes out at 11.5 kJ per mole of atoms. The value obtained for the volume is 288.82 Å³/cell. The calculation puts the total magnetization at 7.04 μB per cell.

Structure (CIF):
```
data_MnTl2Sb2
_chemical_formula_sum 'Mn2 Tl4 Sb4'
_cell_length_a 6.9433
_cell_length_b 6.9433
_cell_length_c 5.9909
_cell_angle_alpha 90.00
_cell_angle_beta 90.00
_cell_angle_gamma 90.00
_space_group_name_H-M_alt 'P 4/m b m'
_space_group_IT_number 127
_space_group_name_Hall '-P 4 2ab'
loop_
_atom_site_label
_atom_site_type_symbol
_atom_site_fract_x
_atom_site_fract_y
_atom_site_fract_z
_atom_site_occupancy
Mn1 Mn 0.0000 0.0000 0.0000 1
Tl1 Tl 0.1779 0.3221 0.5000 1
Sb1 Sb 0.1485 0.6485 0.0000 1
```

---

[3]
Computed, not measured: a relaxed B crystal at the PBE level of DFT.

The calculation puts the excess energy over the best structure of this formula in the dataset at 270 meV/atom. The value obtained for the volume is 58.75 Å³/cell. The calculation puts the calculated formation energy at 0.27 eV per atom. The calculation puts the total magnetization at 0.00 μB per cell.

Structure (CIF):
```
data_B
_chemical_formula_sum 'B8'
_cell_length_a 3.4456
_cell_length_b 5.2281
_cell_length_c 3.3338
_cell_angle_alpha 90.00
_cell_angle_beta 101.96
_cell_angle_gamma 90.00
_space_group_name_H-M_alt 'C 1 2/m 1'
_space_group_IT_number 12
loop_
_space_group_symop_operation_xyz
'x,y,z'
'-x,-y,-z'
'-x,y,-z'
'x,-y,z'
'x+1/2,y+1/2,z'
'-x+1/2,-y+1/2,-z'
'-x+1/2,y+1/2,-z'
'x+1/2,-y+1/2,z'
loop_
_atom_site_label
_atom_site_type_symbol
_atom_site_fract_x
_atom_site_fract_y
_atom_site_fract_z
_atom_site_occupancy
B1 B 0.0000 0.2236 0.0000 1
B2 B 0.1354 0.5000 0.7515 1
```

---

[4]
Computed, not measured: a relaxed Pr2Er2Tm7 crystal at the PBE level of DFT.

The calculation puts the excess energy over the best structure of this formula in the dataset at 8 meV/atom. The value obtained for the volume is 703.89 Å³/cell. The calculation puts the calculated formation energy at 0.16 eV per atom. The calculation puts the total magnetization at 0.00 μB per cell.

Structure (CIF):
```
data_Pr2Er2Tm7
_chemical_formula_sum 'Pr4 Er4 Tm14'
_cell_length_a 11.1106
_cell_length_b 11.5223
_cell_length_c 6.0003
_cell_angle_alpha 90.00
_cell_angle_beta 113.60
_cell_angle_gamma 90.00
_space_group_name_H-M_alt 'C 1 2/m 1'
_space_group_IT_number 12
loop_
_space_group_symop_operation_xyz
'x,y,z'
'-x,-y,-z'
'-x,y,-z'
'x,-y,z'
'x+1/2,y+1/2,z'
'-x+1/2,-y+1/2,-z'
'-x+1/2,y+1/2,-z'
'x+1/2,-y+1/2,z'
loop_
_atom_site_label
_atom_site_type_symbol
_atom_site_fract_x
_atom_site_fract_y
_atom_site_fract_z
_atom_site_occupancy
Pr1 Pr 0.0000 0.2110 0.0000 1
Er1 Er 0.0956 0.5000 0.3102 1
Tm1 Tm 0.0000 0.0000 0.5000 1
Tm2 Tm 0.1725 0.2363 0.6730 1
Tm3 Tm 0.2375 0.0000 0.0802 1
```

---

[5]
Computed, not measured: a relaxed Si2Sn2Hg crystal at the PBE level of DFT.

The energy relative to the elements, uncorrected comes out at 33.2 kJ per mole of atoms. The calculation puts the excess energy over the best structure of this formula in the dataset at 114 meV/atom. The value obtained for the volume is 230.28 Å³/cell. The calculation puts the total magnetization at 0.00 μB per cell.

Structure (CIF):
```
data_Si2Sn2Hg
_chemical_formula_sum 'Si4 Sn4 Hg2'
_cell_length_a 7.2310
_cell_length_b 7.2310
_cell_length_c 4.4040
_cell_angle_alpha 90.00
_cell_angle_beta 90.00
_cell_angle_gamma 90.00
_space_group_name_H-M_alt 'P 4/m b m'
_space_group_IT_number 127
_space_group_name_Hall '-P 4 2ab'
loop_
_atom_site_label
_atom_site_type_symbol
_atom_site_fract_x
_atom_site_fract_y
_atom_site_fract_z
_atom_site_occupancy
Si1 Si 0.1179 0.3821 0.0000 1
Sn1 Sn 0.1972 0.6972 0.5000 1
Hg1 Hg 0.0000 0.0000 0.0000 1
```

---

[6]
Computed, not measured: a relaxed CuIr3 crystal at the PBE level of DFT.

The value obtained for the volume is 228.75 Å³/cell. The calculation puts the calculated formation energy at 0.40 eV per atom. The calculation puts the total magnetization at 0.01 μB per cell.

Structure (CIF):
```
data_CuIr3
_chemical_formula_sum 'Cu4 Ir12'
_cell_length_a 6.1158
_cell_length_b 6.1158
_cell_length_c 6.1158
_cell_angle_alpha 90.00
_cell_angle_beta 90.00
_cell_angle_gamma 90.00
_space_group_name_H-M_alt 'F m -3 m'
_space_group_IT_number 225
_space_group_name_Hall '-F 4 2 3'
loop_
_atom_site_label
_atom_site_type_symbol
_atom_site_fract_x
_atom_site_fract_y
_atom_site_fract_z
_atom_site_occupancy
Cu1 Cu 0.0000 0.0000 0.0000 1
Ir1 Ir 0.0000 0.0000 0.5000 1
Ir2 Ir 0.2500 0.2500 0.2500 1
```

---

[7]
Computed, not measured: a relaxed AlCu2Au crystal at the PBE level of DFT.

The value obtained for the volume is 112.69 Å³/cell. The calculation puts the calculated formation energy at -0.24 eV per atom. The calculation puts the total magnetization at 0.00 μB per cell.

Structure (CIF):
```
data_AlCu2Au
_chemical_formula_sum 'Al2 Cu4 Au2'
_cell_length_a 3.7658
_cell_length_b 3.7658
_cell_length_c 7.9462
_cell_angle_alpha 90.00
_cell_angle_beta 90.00
_cell_angle_gamma 90.00
_space_group_name_H-M_alt 'I 4/m m m'
_space_group_IT_number 139
_space_group_name_Hall '-I 4 2'
loop_
_atom_site_label
_atom_site_type_symbol
_atom_site_fract_x
_atom_site_fract_y
_atom_site_fract_z
_atom_site_occupancy
Al1 Al 0.0000 0.0000 0.0000 1
Cu1 Cu 0.0000 0.5000 0.2500 1
Au1 Au 0.0000 0.0000 0.5000 1
```

---

[8]
Computed, not measured: a relaxed RbNa2Sr crystal at the PBE level of DFT.

The calculation puts the excess energy over the best structure of this formula in the dataset at 41 meV/atom. The value obtained for the volume is 647.30 Å³/cell. The calculation puts the calculated formation energy at 0.09 eV per atom. The calculation puts the total magnetization at 0.00 μB per cell.

Structure (CIF):
```
data_RbNa2Sr
_chemical_formula_sum 'Rb3 Na6 Sr3'
_cell_length_a 4.3204
_cell_length_b 4.3204
_cell_length_c 40.0428
_cell_angle_alpha 90.00
_cell_angle_beta 90.00
_cell_angle_gamma 120.00
_space_group_name_H-M_alt 'R 3 m'
_space_group_IT_number 160
_space_group_name_Hall 'R 3 -2"'
loop_
_atom_site_label
_atom_site_type_symbol
_atom_site_fract_x
_atom_site_fract_y
_atom_site_fract_z
_atom_site_occupancy
Rb1 Rb 0.0000 0.0000 0.0000 1
Na1 Na 0.0000 0.0000 0.4220 1
Na2 Na 0.0000 0.0000 0.5778 1
Sr1 Sr 0.0000 0.0000 0.8331 1
```